(1)
This record from Alexandria via LeMat-Bulk describes an optimized crystal structure of SrNi2Os. The functional is PBE.

Output
VASP energy in eV per cell: -21.09
Space-group type: No. 166
Magnetic moment in μB/cell: 0.0
Energy of formation in meV/atom: 846

a = 9.3005 Å, b = 9.3005 Å, c = 9.3005 Å
α = 17.57°, β = 17.57°, γ = 17.57°
Element x y z (fractional)
Ni  0.9884  0.9884  0.9884
Os  0.2500  0.2500  0.2500
Sr  0.7500  0.7500  0.7500
Ni  0.5116  0.5116  0.5116

(2)
This record from Alexandria via LeMat-Bulk describes an optimized crystal structure of MgMnAl2. The functional is PBE.

Output
VASP energy in eV per cell: -17.69
Space-group type: No. 216
Magnetic moment in μB/cell: 3.0
Energy of formation in meV/atom: 140

a = 4.5079 Å, b = 4.5079 Å, c = 4.5079 Å
α = 60.00°, β = 60.00°, γ = 60.00°
Site moments in Bohr magnetons follow the coordinates.
Element x y z (fractional)
Al  0.0000  0.0000  0.0000  -0.04
Al  0.2500  0.2500  0.2500  -0.01
Mn  0.7500  0.7500  0.7500  3.11
Mg  0.5000  0.5000  0.5000  -0.03

(3)
This record from Alexandria via LeMat-Bulk describes an optimized crystal structure of ReOsPt. The functional is PBE.

Output
VASP energy in eV per cell: -28.87
Space-group type: No. 156
Magnetic moment in μB/cell: 0.0
Energy of formation in meV/atom: 281

a = 4.3650 Å, b = 4.3650 Å, c = 2.7995 Å
α = 90.00°, β = 90.00°, γ = 120.00°
Element x y z (fractional)
Re  0.3333  0.6667  0.8057
Pt  0.6667  0.3333  0.3331
Os  0.0000  0.0000  0.8613

(4)
This record from Alexandria via LeMat-Bulk describes an optimized crystal structure of CaMoOs2S. The functional is PBE.

Output
VASP energy in eV per cell: -36.66
Space-group type: No. 123
Raw formation energy in eV/atom: 0.55
Magnetic moment in μB/cell: 1.2

a = 4.4436 Å, b = 4.5143 Å, c = 4.4436 Å
α = 90.00°, β = 90.00°, γ = 90.00°
Site moments in Bohr magnetons follow the coordinates.
Element x y z (fractional)
S  0.0000  0.0000  0.0000  -0.01
Os  0.0000  0.0000  0.5000  0.10
Os  0.5000  0.0000  0.0000  0.09
Mo  0.0000  0.5000  0.0000  0.87
Ca  0.5000  0.5000  0.5000  0.03

(5)
This record from Alexandria via LeMat-Bulk describes an optimized crystal structure of Cd3MoPt. The functional is PBE.

Output
VASP energy in eV per cell: -12.19
Space-group type: No. 221
Magnetic moment in μB/cell: 3.0
Energy of formation in meV/atom: 1486

a = 5.2650 Å, b = 5.2650 Å, c = 5.2650 Å
α = 90.00°, β = 90.00°, γ = 90.00°
Site moments in Bohr magnetons follow the coordinates.
Element x y z (fractional)
Cd  0.5000  0.0000  0.0000  0.04
Mo  0.0000  0.0000  0.0000  2.28
Cd  0.0000  0.5000  0.0000  0.06
Pt  0.5000  0.5000  0.5000  0.13
Cd  0.0000  0.0000  0.5000  0.03

(6)
This record from Alexandria via LeMat-Bulk describes an optimized crystal structure of LaNi2Br. The functional is PBE.

Output
VASP energy in eV per cell: -17.67
Space-group type: No. 225
Raw formation energy in eV/atom: 0.12
Magnetic moment in μB/cell: 0.0

a = 4.7655 Å, b = 4.7655 Å, c = 4.7655 Å
α = 60.00°, β = 60.00°, γ = 60.00°
Element x y z (fractional)
La  0.5000  0.5000  0.5000
Ni  0.2500  0.2500  0.2500
Ni  0.7500  0.7500  0.7500
Br  0.0000  0.0000  0.0000

(7)
This record from Alexandria via LeMat-Bulk describes an optimized crystal structure of BaSbN2. The functional is PBE.

Output
VASP energy in eV per cell: -20.55
Space-group type: No. 166
Raw formation energy in eV/atom: 0.54
Magnetic moment in μB/cell: 0.0

a = 7.7670 Å, b = 7.7670 Å, c = 7.7670 Å
α = 25.09°, β = 25.09°, γ = 25.09°
Element x y z (fractional)
Sb  0.5000  0.5000  0.5000
N  0.8810  0.8810  0.8810
N  0.1190  0.1190  0.1190
Ba  0.0000  0.0000  0.0000

(8)
This record from Alexandria via LeMat-Bulk describes an optimized crystal structure of Rb2LiRuO. The functional is PBE.

Output
VASP energy in eV per cell: -18.54
Space-group type: No. 123
Raw formation energy in eV/atom: -0.09
Magnetic moment in μB/cell: 0.0

a = 6.2381 Å, b = 3.7760 Å, c = 6.2381 Å
α = 90.00°, β = 90.00°, γ = 90.00°
Element x y z (fractional)
O  0.0000  0.0000  0.0000
Rb  0.0000  0.0000  0.5000
Ru  0.0000  0.5000  0.0000
Li  0.5000  0.5000  0.5000
Rb  0.5000  0.0000  0.0000

| no. | calculated density (Mg/m³) |
| --- | --- |
| 1 | 10.26 |
| 2 | 3.41 |
| 3 | 20.54 |
| 4 | 10.22 |
| 5 | 7.15 |
| 6 | 7.30 |
| 7 | 6.43 |
| 8 | 3.33 |